The following is a PBE calculation of Pr8Dy4Ho after structural relaxation, from the Alexandria database.

## Properties
ΔE_f ... 2.065 eV per formula unit

Lattice parameters (Å, degrees): 6.6559 6.6578 11.1526 94.97 94.80 112.27
With the nearest neighbours (Å) after each atom.
Space group P1 (No. 1)
Unique sites:
Pr  0.0000  0.0000  0.0000  6 Pr 3.62-3.82, 5 Dy 3.65-3.85
Pr  0.0051  0.4911  0.8452  1 Ho 3.21, 1 Pr 3.31, 1 Dy 3.37
Pr  0.3370  0.8217  0.4285  1 Ho 3.05, 1 Pr 3.19
Pr  0.3510  0.3152  0.3317  2 Dy 3.26-3.51, 3 Pr 3.49-3.52
Pr  0.4576  0.9401  0.8700  1 Ho 3.12, 1 Dy 3.20, 1 Pr 3.31
Pr  0.5141  0.4820  0.9989  6 Pr 3.61-3.80, 5 Dy 3.66-3.85
Pr  0.8308  0.8360  0.3329  2 Dy 3.27-3.51, 3 Pr 3.49-3.51
Pr  0.9131  0.3980  0.4487  1 Ho 3.11, 1 Pr 3.19
Dy  0.0363  0.9392  0.6571  1 Ho 3.29, 3 Pr 3.52-3.67
Dy  0.0412  0.5267  0.1503  7 Pr 3.37-3.66, 2 Dy 3.69-3.73
Dy  0.4540  0.5198  0.6561  1 Ho 3.29, 3 Pr 3.51-3.67
Dy  0.5472  0.0307  0.1595  3 Pr 3.20-3.27
Ho  0.6512  0.1349  0.6406  4 Pr 3.05-3.21, 2 Dy 3.29